Record 1
DFT (PBE) results for crystalline PmThCoAu at its relaxed geometry.

Unit cell a=5.0869 b=5.0869 c=5.0869 alpha=60.00 beta=60.00 gamma=60.00
Positions (direct):
Pm 0.0000 0.0000 0.0000
Th 0.5000 0.5000 0.5000
Co 0.7500 0.7500 0.7500
Au 0.2500 0.2500 0.2500

- total magnetic moment (Bohr magnetons per cell) = 0.00
- volume (Å³/cell) = 93.1
- formation enthalpy at 0 K (eV/atom) = -0.29

---

Record 2
DFT (PBE) results for crystalline ZnCo2TeS at its relaxed geometry.

Unit cell a=4.7278 b=4.7278 c=5.3119 alpha=90.00 beta=90.00 gamma=90.00
Positions (direct):
Zn 0.0000 0.0000 0.0000
Co 0.0000 0.5000 0.5000
Co 0.5000 0.0000 0.5000
Te 0.5000 0.5000 0.5000
S 0.5000 0.5000 0.0000

- formation energy from raw total energies (meV per atom) = 1024
- total magnetic moment (Bohr magnetons per cell) = 3.69
- volume (Å³/cell) = 118.7

---

Record 3
DFT (PBE) results for crystalline SrTmGe2 at its relaxed geometry.

Unit cell a=6.4179 b=6.4179 c=6.4179 alpha=42.79 beta=42.79 gamma=42.79
Positions (direct):
Sr 0.0000 0.0000 0.0000
Tm 0.5000 0.5000 0.5000
Ge 0.2297 0.2297 0.2297
Ge 0.7703 0.7703 0.7703

- total magnetic moment (Bohr magnetons per cell) = 0.00
- volume (Å³/cell) = 110.5
- formation enthalpy at 0 K (eV/atom) = -0.45

---

Record 4
DFT (PBE) results for crystalline K3MgHg2Cl9 at its relaxed geometry.

Unit cell a=7.3918 b=7.3918 c=9.0789 alpha=90.00 beta=90.00 gamma=120.00
Positions (direct):
K 0.0000 0.0000 0.0000
K 0.3333 0.6667 0.6664
K 0.6667 0.3333 0.3336
Mg 0.0000 0.0000 0.5000
Hg 0.3333 0.6667 0.1752
Hg 0.6667 0.3333 0.8248
Cl 0.0000 0.5000 0.0000
Cl 0.1608 0.3216 0.3415
Cl 0.1608 0.8392 0.3415
Cl 0.3216 0.1608 0.6585
Cl 0.5000 0.0000 0.0000
Cl 0.5000 0.5000 0.0000
Cl 0.6784 0.8392 0.3415
Cl 0.8392 0.1608 0.6585
Cl 0.8392 0.6784 0.6585

- formation energy from raw total energies (meV per atom) = -1344
- total magnetic moment (Bohr magnetons per cell) = 0.00
- volume (Å³/cell) = 429.6

---

Which formula does entry 4 have? K3MgHg2Cl9

---

Repeat the first record exactly.
DFT (PBE) results for crystalline PmThCoAu at its relaxed geometry.

Unit cell a=5.0869 b=5.0869 c=5.0869 alpha=60.00 beta=60.00 gamma=60.00
Positions (direct):
Pm 0.0000 0.0000 0.0000
Th 0.5000 0.5000 0.5000
Co 0.7500 0.7500 0.7500
Au 0.2500 0.2500 0.2500

- total magnetic moment (Bohr magnetons per cell) = 0.00
- volume (Å³/cell) = 93.1
- formation enthalpy at 0 K (eV/atom) = -0.29